[1]
Below is a relaxed Cs4PaSn3O12 crystal, with properties calculated at the GGA-PBE level.

Geometry as POSCAR:
```
Cs4PaSn3O12
1.0
7.485 0.000 0.000
-2.495 7.057 0.000
-2.495 -3.528 6.111
Cs Pa Sn O
4 1 3 12
Direct
0.500 0.500 0.500
0.000 0.000 0.500
0.500 0.000 0.000
0.000 0.500 0.000
0.000 0.000 0.000
0.500 0.000 0.500
0.500 0.500 0.000
0.000 0.500 0.500
0.250 0.500 0.750
0.745 0.000 0.745
0.255 0.000 0.255
0.750 0.500 0.250
0.745 0.745 0.000
0.255 0.255 0.000
0.750 0.250 0.500
0.250 0.750 0.500
0.500 0.250 0.750
0.000 0.745 0.745
0.500 0.750 0.250
0.000 0.255 0.255
```

Summary:
The formation energy from raw total energies is -1.631 eV/atom. The calculation puts the magnetic moment at 3.1 μB/f.u. Its density of states at the Fermi level is 11.31 states/eV per cell. As for the calculated density: 6.74 g/cm³.


[2]
Below is a relaxed Ac3Pr3Co2 crystal, with properties calculated at the GGA-PBE level.

Geometry as POSCAR:
```
Ac3Pr3Co2
1.0
10.331 0.510 -0.525
0.524 10.331 -0.525
-0.511 -0.510 10.332
Ac Pr Co
12 12 8
Direct
0.922 0.730 0.912
0.750 0.582 0.588
0.912 0.078 0.730
0.730 0.088 0.078
0.088 0.922 0.270
0.250 0.418 0.412
0.418 0.588 0.750
0.412 0.750 0.418
0.588 0.250 0.582
0.270 0.912 0.922
0.582 0.412 0.250
0.078 0.270 0.088
0.739 0.401 0.912
0.261 0.599 0.088
0.271 0.086 0.602
0.086 0.398 0.729
0.398 0.271 0.914
0.401 0.088 0.261
0.729 0.914 0.398
0.914 0.602 0.271
0.912 0.261 0.401
0.088 0.739 0.599
0.599 0.912 0.739
0.602 0.729 0.086
0.640 0.167 0.825
0.360 0.833 0.175
0.167 0.175 0.360
0.833 0.825 0.640
0.175 0.640 0.833
0.837 0.837 0.163
0.825 0.360 0.167
0.163 0.163 0.837
```

Summary:
The calculation puts the magnetic moment at 0.0 μB/f.u. Its density of states at the Fermi level is 34.49 states/eV per cell. As for the formation energy: -0.02 eV per formula unit. As for the calculated density: 7.41 g/cm³.


[3]
Below is a relaxed PuGaSiNi crystal, with properties calculated at the GGA-PBE level.

Geometry as POSCAR:
```
PuGaSiNi
1.0
3.972 0.000 0.000
1.986 3.440 0.000
1.986 1.147 5.218
Pu Ga Si Ni
1 1 1 1
Direct
0.811 0.811 0.568
0.021 0.021 0.936
0.598 0.598 0.207
0.296 0.296 0.112
```

Summary:
The formation energy from raw total energies is -0.460 eV/atom. The calculation puts the magnetic moment at 5.2 μB/f.u. Its density of states at the Fermi level is 8.52 states/eV per cell. As for the calculated density: 9.33 g/cm³.


[4]
Below is a relaxed CuRuPt3 crystal, with properties calculated at the GGA-PBE level.

Geometry as POSCAR:
```
CuRuPt3
1.0
4.785 0.000 0.000
0.000 4.785 0.000
0.000 0.000 4.785
Ru Cu Pt
1 1 3
Direct
0.000 0.000 0.000
0.500 0.500 0.500
0.000 0.500 0.000
0.000 0.000 0.500
0.500 0.000 0.000
```

Summary:
The calculation puts the magnetic moment at 0.0 μB/f.u. Its density of states at the Fermi level is 7.24 states/eV per cell. As for the formation energy: 7.31 eV per formula unit. The calculation puts the energy above the most stable polymorph in this dataset at 164 meV per atom. As for the calculated density: 11.37 g/cm³.